No. 1
9
Lattice="4.2318 0.0000 0.0000 0.0000 4.2318 0.0000 0.0000 0.0000 7.9731" Properties=species:S:1:pos:R:3 comment="PaGaH2O5, optimized geometry, DFT PBE" vol_a3_per_fu=142.8 dos_ef_per_ev_cell=0.0 final_energy_ev_per_atom=-6.73 pbc="T T T"
Pa 0.0000 0.0000 0.0000
Ga 0.0000 0.0000 3.9866
H 2.1159 2.1159 3.0269
H 2.1159 2.1159 4.9463
O 0.0000 0.0000 2.3044
O 0.0000 0.0000 5.6688
O 0.0000 2.1159 0.0000
O 2.1159 0.0000 0.0000
O 2.1159 2.1159 3.9866

No. 2
12
Lattice="2.3059 -7.2745 0.0000 2.3059 7.2745 0.0000 0.0000 0.0000 10.9151" Properties=species:S:1:pos:R:3 comment="Nd3BiSe2, optimized geometry, DFT PBE" raw_formation_energy_ev_per_atom=-1.269 vol_a3_per_fu=183.1 dos_ef_per_ev_cell=9.9 final_energy_ev_per_atom=-5.46 pbc="T T T"
Nd 2.3059 5.9431 8.1863
Nd 2.3059 2.1071 6.0298
Nd 2.3059 2.1071 10.3429
Nd 2.3059 -2.1071 0.5722
Nd 2.3059 -2.1071 4.8853
Nd 2.3059 -5.9431 2.7288
Bi 2.3059 3.7147 2.7288
Bi 2.3059 -3.7147 8.1863
Se 0.0000 0.0000 0.0000
Se 0.0000 0.0000 5.4575
Se 2.3059 0.2816 8.1863
Se 2.3059 -0.2816 2.7288

No. 3
5
Lattice="4.9049 0.0000 0.0000 0.0000 4.9049 0.0000 0.0000 0.0000 4.9049" Properties=species:S:1:pos:R:3 comment="TiSnS3, optimized geometry, DFT PBE" raw_formation_energy_ev_per_atom=0.438 vol_a3_per_fu=118.0 dos_ef_per_ev_cell=24.2 final_energy_ev_per_atom=-4.42 pbc="T T T"
Ti 0.0000 0.0000 0.0000
Sn 2.4524 2.4524 2.4524
S 0.0000 2.4524 2.4524
S 2.4524 0.0000 2.4524
S 2.4524 2.4524 0.0000

No. 4
11
Lattice="-2.2068 2.2068 16.7108 2.2068 -2.2068 16.7108 2.2068 2.2068 -16.7108" Properties=species:S:1:pos:R:3 comment="Pm2Ho3In6, optimized geometry, DFT PBE" vol_a3_per_fu=325.5 dos_ef_per_ev_cell=9.3 final_energy_ev_per_atom=-3.74 pbc="T T T"
Pm 0.0000 0.0000 5.8342
Pm 0.0000 0.0000 27.5874
Ho 0.0000 0.0000 12.2094
Ho 0.0000 0.0000 16.7108
Ho 0.0000 0.0000 21.2122
In 2.2068 0.0000 2.3226
In 0.0000 0.0000 9.1370
In 2.2068 0.0000 14.3882
In 0.0000 2.2068 2.3226
In 0.0000 0.0000 24.2846
In 0.0000 2.2068 14.3882

No. 5
12
Lattice="2.9079 0.0000 0.0000 -1.4540 2.5183 0.0000 0.0000 0.0000 26.8528" Properties=species:S:1:pos:R:3 comment="Zn2CrIn, optimized geometry, DFT PBE" vol_a3_per_fu=65.5 dos_ef_per_ev_cell=6.9 final_energy_ev_per_atom=-3.30 pbc="T T T"
Zn 0.0000 0.0000 0.0000
Zn 0.0000 0.0000 6.7949
Zn 0.0000 1.6789 17.9018
Zn 0.0000 1.6789 24.6967
Zn 1.4540 0.8394 8.9509
Zn 1.4540 0.8394 15.7458
Cr 0.0000 0.0000 19.9215
Cr 0.0000 1.6789 10.9706
Cr 1.4540 0.8394 2.0197
In 0.0000 0.0000 13.2520
In 0.0000 1.6789 4.3011
In 1.4540 0.8394 22.2029

No. 6
12
Lattice="3.0680 0.0000 0.0000 -1.5340 2.6569 0.0000 0.0000 0.0000 27.2815" Properties=species:S:1:pos:R:3 comment="ZrTa2Ru, optimized geometry, DFT PBE" vol_a3_per_fu=74.1 dos_ef_per_ev_cell=14.0 final_energy_ev_per_atom=-10.31 pbc="T T T"
Zr 0.0000 0.0000 0.0000
Zr 0.0000 1.7713 18.1877
Zr 1.5340 0.8856 9.0938
Ta 0.0000 0.0000 6.5979
Ta 0.0000 0.0000 20.6836
Ta 0.0000 1.7713 11.5898
Ta 0.0000 1.7713 24.7855
Ta 1.5340 0.8856 2.4959
Ta 1.5340 0.8856 15.6917
Ru 0.0000 0.0000 13.6407
Ru 0.0000 1.7713 4.5469
Ru 1.5340 0.8856 22.7345

No. 7
10
Lattice="4.2312 0.0000 0.0000 0.0000 4.2312 0.0000 0.0000 0.0000 12.3104" Properties=species:S:1:pos:R:3 comment="Ge2PbAu2, optimized geometry, DFT PBE" vol_a3_per_fu=110.2 dos_ef_per_ev_cell=5.2 final_energy_ev_per_atom=-3.88 pbc="T T T"
Ge 0.0000 2.1156 3.0776
Ge 0.0000 2.1156 9.2328
Ge 2.1156 0.0000 3.0776
Ge 2.1156 0.0000 9.2328
Pb 0.0000 0.0000 0.0000
Pb 2.1156 2.1156 6.1552
Au 0.0000 0.0000 4.7696
Au 0.0000 0.0000 7.5409
Au 2.1156 2.1156 1.3856
Au 2.1156 2.1156 10.9248

No. 8
8
Lattice="4.0688 0.0000 0.0000 0.0000 4.0688 0.0000 0.0000 0.0000 8.4395" Properties=species:S:1:pos:R:3 comment="ScPtAu2, optimized geometry, DFT PBE" vol_a3_per_fu=69.9 dos_ef_per_ev_cell=3.0 final_energy_ev_per_atom=-5.48 pbc="T T T"
Sc 0.0000 0.0000 0.0000
Sc 2.0344 2.0344 4.2198
Pt 0.0000 2.0344 6.3296
Pt 2.0344 0.0000 2.1099
Au 0.0000 0.0000 4.2198
Au 0.0000 2.0344 2.1099
Au 2.0344 0.0000 6.3296
Au 2.0344 2.0344 0.0000

What did the fifth record say?
12
Lattice="2.9079 0.0000 0.0000 -1.4540 2.5183 0.0000 0.0000 0.0000 26.8528" Properties=species:S:1:pos:R:3 comment="Zn2CrIn, optimized geometry, DFT PBE" vol_a3_per_fu=65.5 dos_ef_per_ev_cell=6.9 final_energy_ev_per_atom=-3.30 pbc="T T T"
Zn 0.0000 0.0000 0.0000
Zn 0.0000 0.0000 6.7949
Zn 0.0000 1.6789 17.9018
Zn 0.0000 1.6789 24.6967
Zn 1.4540 0.8394 8.9509
Zn 1.4540 0.8394 15.7458
Cr 0.0000 0.0000 19.9215
Cr 0.0000 1.6789 10.9706
Cr 1.4540 0.8394 2.0197
In 0.0000 0.0000 13.2520
In 0.0000 1.6789 4.3011
In 1.4540 0.8394 22.2029